# TaCoRe2, optimized geometry, DFT PBE
# Formation energy (eV per atom): 0.038
# Calculated volume (A^3/atom): 14.641
data_TaCoRe2
_chemical_formula_sum 'Ta2 Co2 Re4'
_cell_length_a 3.3518
_cell_length_b 4.2144
_cell_length_c 8.2917
_cell_angle_alpha 90.00
_cell_angle_beta 90.00
_cell_angle_gamma 90.00
_symmetry_space_group_name_H-M 'C m m m'
_symmetry_Int_Tables_number 65
_symmetry_space_group_name_Hall '-C 2 2'
loop_
_atom_site_label
_atom_site_type_symbol
_atom_site_fract_x
_atom_site_fract_y
_atom_site_fract_z
_atom_site_occupancy
Ta1 Ta 0.0000 0.0000 0.0000 1
Co1 Co 0.0000 0.0000 0.5000 1
Re1 Re 0.0000 0.5000 0.2754 1

---

# LiEr3Pu3S8, optimized geometry, DFT PBE
# Calculated volume (A^3/atom): 22.242
# E_tot (eV/atom): -7.928
data_LiEr3Pu3S8
_chemical_formula_sum 'Li3 Er9 Pu9 S24'
_cell_length_a 7.7850
_cell_length_b 7.7850
_cell_length_c 19.0697
_cell_angle_alpha 90.00
_cell_angle_beta 90.00
_cell_angle_gamma 120.00
_symmetry_space_group_name_H-M 'R -3 m'
_symmetry_Int_Tables_number 166
_symmetry_space_group_name_Hall '-R 3 2"'
loop_
_atom_site_label
_atom_site_type_symbol
_atom_site_fract_x
_atom_site_fract_y
_atom_site_fract_z
_atom_site_occupancy
Li1 Li 0.0000 0.0000 0.0000 1
Er1 Er 0.0000 0.5000 0.0000 1
Pu1 Pu 0.0000 0.5000 0.5000 1
S1 S 0.0000 0.0000 0.2519 1
S2 S 0.0029 0.5014 0.7469 1

---

Question: Which value of calculated volume does entry 2 give?
Answer: 22.242 A^3/atom